12
Lattice="-3.344 0.998 0.314 -1.209 -4.824 2.455 4.349 9.804 15.141" Properties=species:S:1:pos:R:3 comment="PBE Ho3Tm7Sc2, relaxed" de_polymorph_kj_per_mol_atoms=0.0 formation_enthalpy_0k_ev_per_atom=0.1218 total_energy_ev_per_cell=-56.24 vol_a3_per_cell=356.5 m_tot_mub_per_atom=0.000 sg=Cmmm pbc="T T T"
Tm 3.037 5.995 13.276
Tm 0.103 -1.015 4.320
Ho 0.693 5.168 10.496
Tm 1.419 1.581 10.070
Sc 2.036 2.800 12.769
Tm 0.000 0.000 0.000
Tm 0.919 4.395 15.353
Ho -2.276 -1.913 1.385
Ho -0.897 0.810 7.415
Tm 1.722 3.399 7.526
Tm -1.123 1.583 2.557
Sc 1.105 2.180 4.828

13
Lattice="7.156 -1.086 1.255 0.858 7.186 1.255 -1.426 -1.086 7.124" Properties=species:S:1:pos:R:3 comment="PBE Ho4TmSc8, relaxed" formation_enthalpy_0k_ev_per_atom=0.5922 total_energy_ev_per_cell=-65.74 vol_a3_per_cell=396.3 m_tot_mub_per_atom=0.056 sg=R-3m pbc="T T T"
Ho -0.284 3.050 4.189
Sc 4.560 0.086 6.669
Tm 3.294 2.508 4.817
Sc 1.586 1.207 2.319
Sc 5.002 3.808 7.316
Sc 2.028 4.929 2.966
Sc 1.297 4.373 6.669
Ho 4.007 3.050 1.255
Sc 5.291 0.642 2.966
Ho 0.000 0.000 0.000
Ho 2.865 -1.086 4.189
Sc 0.844 0.642 6.007
Sc 5.744 4.373 3.628

12
Lattice="5.877 0.000 -0.014 2.938 5.089 -0.007 1.988 0.000 10.932" Properties=species:S:1:pos:R:3 comment="PBE HoTm2Sc3, relaxed" de_polymorph_kj_per_mol_atoms=0.7 formation_enthalpy_0k_ev_per_atom=0.0558 total_energy_ev_per_cell=-64.36 vol_a3_per_cell=327.1 m_tot_mub_per_atom=0.000 sg=C2/m pbc="T T T"
Tm 0.000 0.000 0.000
Sc 5.900 0.000 8.183
Sc 5.900 3.393 8.184
Tm 3.933 3.393 5.459
Sc 4.904 1.696 2.728
Ho 2.938 1.696 -0.007
Sc 1.965 0.000 2.735
Sc 2.961 1.696 8.190
Ho 5.877 3.392 -0.014
Sc 7.842 3.393 2.721
Tm 6.871 1.696 5.452
Tm 3.933 0.000 5.459

10
Lattice="8.493 0.000 4.507 3.050 7.926 4.507 2.116 1.453 6.268" Properties=species:S:1:pos:R:3 comment="PBE Ho6Tm3Sc, relaxed" de_polymorph_kj_per_mol_atoms=9.6 formation_enthalpy_0k_ev_per_atom=0.2430 total_energy_ev_per_cell=-44.78 vol_a3_per_cell=310.7 m_tot_mub_per_atom=0.000 sg=R3 pbc="T T T"
Ho 8.199 1.697 8.308
Ho 3.562 4.532 6.881
Ho 6.271 2.308 5.198
Sc 10.832 7.437 10.354
Tm 7.414 5.091 6.539
Ho 5.446 7.725 6.734
Tm 6.132 4.210 8.955
Ho 7.567 7.042 9.920
Ho 10.211 5.023 8.278
Tm 2.661 1.827 5.240

10
Lattice="-0.894 -2.315 -2.606 -6.133 -3.696 5.385 -6.093 5.808 -3.069" Properties=species:S:1:pos:R:3 comment="PBE Ho4Tm3Sc3, relaxed" formation_enthalpy_0k_ev_per_atom=0.0909 total_energy_ev_per_cell=-49.81 vol_a3_per_cell=288.8 m_tot_mub_per_atom=0.000 sg=Amm2 pbc="T T T"
Tm -9.170 -0.794 3.849
Ho -1.603 0.321 0.265
Sc -4.497 -0.469 -0.526
Ho -6.118 -0.191 2.268
Ho -6.108 2.239 0.106
Sc -6.573 -3.243 2.650
Sc -8.622 0.244 0.256
Tm -6.546 3.041 -2.940
Tm -3.076 -1.847 2.695
Ho -10.622 1.878 1.974

14
Lattice="-4.610 -5.188 -5.437 -0.342 -0.630 8.534 -1.742 8.509 1.517" Properties=species:S:1:pos:R:3 comment="PBE Ho5Tm8Sc, relaxed" formation_enthalpy_0k_ev_per_atom=0.2022 total_energy_ev_per_cell=-62.16 vol_a3_per_cell=435.4 m_tot_mub_per_atom=0.000 sg=C2 pbc="T T T"
Tm -5.297 -2.713 -1.369
Ho -3.543 1.043 6.559
Tm -2.472 1.583 1.340
Ho -4.913 -3.601 2.290
Tm -0.860 -0.651 5.350
Tm -5.367 -0.120 0.942
Ho -4.761 2.081 3.748
Tm -5.577 -0.406 -4.080
Tm -4.296 4.758 6.733
Tm -4.399 4.180 1.238
Ho -6.209 2.844 -1.772
Tm -2.981 -1.131 2.953
Ho -1.995 -1.194 -0.400
Sc -2.865 4.892 3.901

7
Lattice="-2.741 -0.866 -1.730 0.030 -6.826 3.370 -4.383 2.411 5.739" Properties=species:S:1:pos:R:3 comment="PBE HoTm2Sc4, relaxed" de_polymorph_kj_per_mol_atoms=0.7 formation_enthalpy_0k_ev_per_atom=0.1790 total_energy_ev_per_cell=-37.59 vol_a3_per_cell=194.2 m_tot_mub_per_atom=0.000 sg=Cmmm pbc="T T T"
Sc -3.562 0.772 2.005
Sc -1.000 -1.014 2.092
Sc -3.353 -3.401 7.017
Sc -1.356 -3.846 0.820
Tm -0.837 -5.011 3.836
Ho -3.547 -2.641 3.690
Tm -3.516 0.596 5.273

13
Lattice="-4.932 -2.279 -0.755 2.786 -6.704 2.035 -3.659 5.210 8.207" Properties=species:S:1:pos:R:3 comment="PBE Ho3Tm8Sc2, relaxed" de_polymorph_kj_per_mol_atoms=0.7 formation_enthalpy_0k_ev_per_atom=0.2470 total_energy_ev_per_cell=-58.96 vol_a3_per_cell=400.3 m_tot_mub_per_atom=0.000 sg=C2/m pbc="T T T"
Tm -0.998 -5.487 3.149
Tm -5.546 -1.775 1.746
Tm -4.808 1.714 6.339
Sc -2.249 -3.531 5.416
Tm 0.596 -2.702 4.251
Ho 1.990 -4.789 1.454
Sc -3.557 -0.242 4.072
Ho 0.796 -1.914 0.581
Tm -3.633 -1.114 7.197
Tm -2.173 -2.659 2.290
Tm -0.259 -1.998 7.741
Ho -2.466 -1.139 -0.377
Tm -6.402 -1.071 5.236